BaMo2Ru: relaxed, PBE.

The value obtained for the formation energy from the elements is 2.57 eV per formula unit. The crystal system is tetragonal. Its density of states at the Fermi level is 4.13 states/eV/cell. The density comes out at 8.4 Mg/m³. The energy above the most stable polymorph in this dataset comes out at 0.000 eV per formula unit.

a = 3.2381 Å, b = 3.2381 Å, c = 8.0927 Å
α = 90.00°, β = 90.00°, γ = 90.00°
With the nearest neighbours (Å) after each atom.
Fractional coordinates of all 4 atoms:
Ba1 0.0000 0.0000 0.0000  4 Ba 3.24, 4 Ru 3.48, 4 Mo 3.56
Mo1 0.0000 0.0000 0.5123  4 Ru 2.65, 4 Mo 2.69
Mo2 0.5000 0.5000 0.3373  4 Mo 2.69, 1 Ru 2.75
Ru1 0.5000 0.5000 0.6766  5 Mo 2.65-2.75